[1]
PrDyBr2 (PBE, optimized geometry); ΔE_f (raw) = -1061.3 meV/atom; SG = No. 160; energy = -4.2431 eV/atom; E above lowest polymorph = 0.00 kcal/mol of atoms
1.0
3.6504 0.0000 0.0000
1.8252 3.1613 0.0000
1.8252 1.0538 9.4027
Br Pr Dy
2 1 1
Cartesian
1.8252 1.0538 2.2976
1.8252 1.0538 7.1110
3.6504 2.1076 4.6586
3.6504 2.1076 0.0368

[2]
Pr2DyBr (PBE, optimized geometry); ΔE_f (raw) = -475.7 meV/atom; SG = No. 123; energy = -4.4342 eV/atom; E above lowest polymorph = 1.72 kcal/mol of atoms
1.0
3.6222 0.0000 0.0000
0.0000 3.6222 0.0000
0.0000 0.0000 9.7420
Pr Br Dy
2 1 1
Cartesian
0.0000 0.0000 2.2909
0.0000 0.0000 7.4511
1.8111 1.8111 0.0000
1.8111 1.8111 4.8710

[3]
PrDyBr2 (PBE, optimized geometry); ΔE_f (raw) = -1009.3 meV/atom; SG = No. 166; energy = -4.1912 eV/atom; E above lowest polymorph = 1.20 kcal/mol of atoms
1.0
3.6679 0.0000 0.0000
1.8340 3.1765 0.0000
1.8340 1.0588 10.2829
Br Pr Dy
2 1 1
Cartesian
1.8340 1.0588 7.2091
5.5019 3.1765 3.0738
0.0000 0.0000 0.0000
3.6679 2.1177 5.1414

[4]
Pr2DyBr6 (PBE, optimized geometry); ΔE_f (raw) = -1571.9 meV/atom; SG = No. 136; energy = -4.2606 eV/atom
1.0
-6.6146 1.1947 -3.2898
1.8573 -4.7637 -5.4644
-4.4627 -8.4943 5.8881
Dy Br Pr
2 12 4
Cartesian
-2.3786 -1.7845 -4.3771
-2.2313 -4.2471 2.9441
-1.4505 -6.3743 -3.0103
-6.3275 -2.9443 -1.7584
-5.1110 -8.1492 2.4171
-7.1296 -9.6636 -1.2976
-2.0903 -2.3996 -1.5685
-4.6618 -0.1787 -3.7910
-2.8924 -9.1190 -1.1077
-7.7694 -5.6889 0.1442
-3.5134 -5.2090 0.5848
-4.1089 -3.9140 -5.2832
-0.0954 -3.3903 -4.9632
-5.7065 -6.8543 -3.4509
-3.7542 -7.1458 4.9533
-0.7085 -1.3485 0.9348
-5.3184 -7.3801 -0.4983
-3.9015 -4.6831 -2.3678

[5]
PrDySBr (PBE, optimized geometry); ΔE_f (raw) = -1519.5 meV/atom; SG = No. 8; energy = -5.3150 eV/atom
1.0
-3.6689 -1.0912 0.8313
3.0183 -1.7090 1.8292
1.0989 6.6152 4.3660
Dy S Pr Br
1 1 1 1
Cartesian
1.4846 4.7186 5.3030
2.5518 -1.1188 2.2926
-1.9805 0.4461 2.8268
-0.6517 3.4641 3.4529

[6]
PrDyTe2Br (PBE, optimized geometry); ΔE_f (raw) = -1443.1 meV/atom; SG = No. 129; energy = -4.9107 eV/atom
1.0
4.4567 0.0000 0.0000
0.0000 4.4567 0.0000
0.0000 0.0000 15.1515
Br Te Pr Dy
2 4 2 2
Cartesian
0.0000 0.0000 7.5757
2.2284 2.2284 7.5757
0.0000 2.2284 1.8066
0.0000 2.2284 10.7470
2.2284 0.0000 13.3448
2.2284 0.0000 4.4045
2.2284 0.0000 9.7509
0.0000 2.2284 5.4005
2.2284 0.0000 1.2830
0.0000 2.2284 13.8685

[7]
DyPtBr (PBE, optimized geometry); ΔE_f (raw) = -1322.3 meV/atom; SG = No. 12; energy = -5.4276 eV/atom
1.0
4.0051 0.0000 0.0000
0.0000 7.7876 0.0154
-2.0025 -0.8294 11.4612
Br Pt Dy
4 4 4
Cartesian
2.0025 4.4489 9.3155
0.0000 2.5093 2.1611
2.0025 6.4376 1.7053
0.0000 0.5207 9.7713
0.0000 0.5664 5.7476
2.0025 6.3918 5.7290
0.0000 4.4447 5.6387
2.0025 2.5135 5.8379
2.0025 0.6175 3.7669
0.0000 6.3407 7.7097
2.0025 4.4012 3.6868
0.0000 2.5570 7.7898

[8]
Dy4PtBr5 (PBE, optimized geometry); ΔE_f (raw) = -1517.4 meV/atom; SG = No. 12; energy = -4.7988 eV/atom
1.0
-0.6963 3.9525 0.4569
-8.4078 -1.4086 -0.6283
1.8337 -2.7846 9.0294
Dy Br Pt
4 5 1
Cartesian
-6.7225 -1.8696 5.9284
-1.8258 -0.3119 -0.0842
-0.5479 1.6289 2.9296
-5.4446 0.0712 8.9422
-2.2505 -0.7348 2.9271
-4.5521 1.2720 -0.0857
-5.0199 0.4941 5.9309
-6.5794 -1.4812 2.7863
-0.6910 1.2405 6.0716
-0.3482 1.9763 0.2284

[9]
DyPtBr (PBE, optimized geometry); ΔE_f (raw) = -1309.2 meV/atom; SG = No. 2; energy = -5.4145 eV/atom
1.0
-2.0576 -1.0115 2.7901
-2.0772 -2.9107 -2.5870
8.4153 -7.2237 1.3958
Dy Br Pt
2 2 2
Cartesian
-2.2441 -3.0476 -1.8900
1.0873 -3.9646 0.2321
1.5082 -5.9692 2.1536
3.6935 -9.2782 0.3740
-1.5847 -5.2991 0.1140
-1.6304 -2.7253 1.0196

[10]
Dy3PtBr3 (PBE, optimized geometry); ΔE_f (raw) = -1435.8 meV/atom; SG = No. 148; energy = -4.9880 eV/atom
1.0
1.5362 -1.9286 6.3881
-1.5245 -6.3280 2.1261
9.9028 -6.2964 -0.6124
Dy Br Pt
6 6 2
Cartesian
8.9377 -9.1953 4.8381
0.9769 -5.3576 3.0638
7.4339 -9.9521 1.3015
0.9522 -8.1251 5.8355
8.9624 -6.4278 2.0664
2.4806 -4.6008 6.6004
6.2130 -10.0410 4.0216
2.1532 -8.0982 3.1221
7.7613 -6.4547 4.7798
6.2290 -7.2424 1.1930
3.6856 -7.3105 6.7089
3.7016 -4.5118 3.8803
9.9105 -11.8007 5.0638
0.0040 -2.7522 2.8381

[11]
DyPu2Br6 (PBE, optimized geometry); ΔE_f (raw) = -1489.5 meV/atom; SG = No. 12; energy = -6.3010 eV/atom
1.0
-3.8435 -0.7576 0.6904
3.9265 -6.3190 3.4662
-0.5335 8.5830 6.4475
Br Pu Dy
6 2 1
Cartesian
-0.1147 -4.8787 5.4669
-1.6584 2.4733 4.9403
-0.3356 6.3851 5.1373
0.8065 3.2185 8.0209
1.2080 -0.9669 5.6638
-1.2568 -1.7121 2.5833
1.2283 -3.0926 3.4442
-1.6786 4.5989 7.1599
-4.1102 3.5340 3.9142

[12]
DyPuBr5 (PBE, optimized geometry); ΔE_f (raw) = -1671.9 meV/atom; SG = No. 11; energy = -5.5717 eV/atom
1.0
4.0654 0.0000 0.0000
0.0000 8.4850 -0.5382
0.0000 -0.2048 13.7200
Br Pu Dy
10 2 2
Cartesian
1.0164 5.6393 6.7623
3.0491 5.2632 3.7142
1.0164 0.5944 4.1976
1.0164 2.9766 1.6656
3.0491 2.6409 6.4195
1.0164 3.0170 9.4676
3.0491 7.6858 8.9842
3.0491 1.0862 12.6573
3.0491 5.3036 11.5162
1.0164 7.1939 0.5245
1.0164 7.5364 11.2762
3.0491 0.7437 1.9056
1.0164 3.4707 4.5173
3.0491 4.8095 8.6645

[13]
Dy2PuBr (PBE, optimized geometry); ΔE_f (raw) = -452.6 meV/atom; SG = No. 166; energy = -6.7549 eV/atom
1.0
3.5885 0.0000 0.0000
1.7942 3.1077 0.0000
1.7942 1.0359 10.0895
Br Dy Pu
1 2 1
Cartesian
0.0000 0.0000 0.0000
5.3827 3.1077 7.7448
1.7942 1.0359 2.3448
3.5885 2.0718 5.0448

[14]
RbDyPuBr6 (PBE, optimized geometry); ΔE_f (raw) = -1716.0 meV/atom; SG = No. 163; energy = -5.0426 eV/atom
1.0
-1.3322 -3.4406 -6.5583
-4.6162 -1.1115 5.8377
-8.5154 11.8367 -4.4799
Pu Br Dy Rb
2 12 2 2
Cartesian
-5.6504 1.0713 0.5858
-8.8135 6.2133 -5.7862
-3.9871 2.0281 -5.7069
-10.2912 9.3978 -0.2225
-7.2210 7.1110 -0.7824
-4.9302 -1.2250 -1.1915
-7.2428 0.1737 -4.4180
-10.4767 5.2566 0.5064
-9.5336 8.5097 -4.0089
-4.1727 -2.1131 -4.9780
-12.6828 6.9305 -2.1954
-1.7811 0.3542 -3.0050
-5.2205 2.5520 -1.9781
-9.2433 4.7327 -3.2223
-4.5557 0.2950 -3.5463
-9.9081 6.9897 -1.6542
0.0000 0.0000 0.0000
-4.2577 5.9184 -2.2400

[15]
Rb4DyBr6 (PBE, optimized geometry); ΔE_f (raw) = -1642.0 meV/atom; SG = No. 128; energy = -3.3247 eV/atom
1.0
9.6667 0.0000 0.0000
0.0000 9.6667 0.0000
0.0000 0.0000 10.1775
Dy Br Rb
2 12 8
Cartesian
4.8334 4.8334 0.0000
0.0000 0.0000 5.0888
0.0000 0.0000 2.2407
2.7658 8.8648 5.0888
6.9010 0.8020 5.0888
8.8648 6.9010 5.0888
4.8334 4.8334 2.8480
4.8334 4.8334 7.3295
5.6353 2.0676 0.0000
0.0000 0.0000 7.9368
4.0314 7.5991 0.0000
2.0676 4.0314 0.0000
0.8020 2.7658 5.0888
7.5991 5.6353 0.0000
7.9395 3.1061 7.6331
7.9395 3.1061 2.5444
3.1061 1.7273 2.5444
1.7273 6.5606 7.6331
3.1061 1.7273 7.6331
6.5606 7.9395 2.5444
6.5606 7.9395 7.6331
1.7273 6.5606 2.5444

[16]
RbDyBr3 (PBE, optimized geometry); ΔE_f (raw) = -1552.6 meV/atom; SG = No. 221; energy = -3.6703 eV/atom
1.0
5.6472 0.0000 0.0000
0.0000 5.6472 0.0000
0.0000 0.0000 5.6472
Br Dy Rb
3 1 1
Cartesian
0.0000 0.0000 2.8236
2.8236 0.0000 0.0000
0.0000 2.8236 0.0000
0.0000 0.0000 0.0000
2.8236 2.8236 2.8236

[17]
Rb3DyBr6 (PBE, optimized geometry); ΔE_f (raw) = -1839.8 meV/atom; SG = No. 148; energy = -3.5940 eV/atom
1.0
9.5649 0.7042 -0.9348
-1.0957 9.5280 -0.9348
0.5829 0.7042 9.5928
Rb Br Dy
6 12 2
Cartesian
6.3752 9.6440 2.5236
8.8208 5.2366 5.8983
5.2559 2.8713 -0.0589
0.2314 5.6999 1.8249
3.7963 8.0652 7.7821
2.6769 1.2925 5.1996
0.3045 7.5748 8.1526
5.4133 5.2538 6.5277
3.1243 1.5647 8.7062
3.7973 8.1519 4.3180
5.9279 9.3718 -0.9829
-0.1615 9.2218 1.7145
5.2549 2.7846 3.4052
3.6388 5.6827 1.1955
1.9525 4.6367 4.6532
7.0997 6.2998 3.0700
9.2136 1.7147 6.0087
8.7477 3.3617 -0.4294
0.0000 0.0000 0.0000
4.5261 5.4682 3.8616

[18]
Rb3DyBr6 (PBE, optimized geometry); ΔE_f (raw) = -1840.1 meV/atom; SG = No. 14; energy = -3.5943 eV/atom
1.0
-7.4553 1.3922 -3.0105
0.0447 -7.8141 -3.7243
-4.9320 -4.5600 9.5083
Br Rb Dy
12 6 2
Cartesian
-4.7561 -3.7574 6.8183
-4.5805 -7.4971 0.1839
-8.4970 -6.7319 0.4081
-1.5666 -2.2125 -0.8078
-10.7759 -8.7695 3.5813
-7.7621 -3.4849 2.5896
-3.8456 -4.2501 2.3654
-7.5864 -7.2246 -4.0448
-6.3427 -7.0766 3.7036
-5.9999 -3.9054 -0.9301
-2.2968 -6.2942 -3.3872
-10.0458 -4.6878 6.1607
-1.4526 -5.6170 0.2095
-4.7120 -1.0378 0.6226
-2.4660 -2.2800 4.7542
-3.7053 -3.2110 -3.3674
-7.6306 -9.9442 2.1509
-10.8899 -5.3650 2.5640
-6.1713 -5.4910 1.3867
0.0000 0.0000 0.0000

[19]
RbDyBr2 (PBE, optimized geometry); ΔE_f (raw) = -1093.4 meV/atom; SG = No. 166; energy = -3.3223 eV/atom
1.0
-0.6317 0.6389 3.8561
-0.5967 -3.0592 2.4418
10.4066 -1.4209 3.9729
Rb Br Dy
1 2 1
Cartesian
0.0000 0.0000 0.0000
6.8274 -1.2177 3.3529
2.3508 -2.6235 6.9180
4.5891 -1.9206 5.1354

[20]
RbDyBr3 (PBE, optimized geometry); ΔE_f (raw) = -1555.0 meV/atom; SG = No. 62; energy = -3.6727 eV/atom
1.0
7.7956 0.0000 0.0000
0.0000 8.0667 0.0000
0.0000 0.0000 11.3058
Br Dy Rb
12 4 4
Cartesian
7.5466 0.0356 2.8265
3.6488 3.9977 8.4794
1.6778 5.7873 0.1941
0.2490 8.0310 8.4794
6.1178 2.2793 5.8470
5.5756 6.3127 5.8470
5.5756 6.3127 11.1118
6.1178 2.2793 11.1118
2.2200 1.7540 5.4589
4.1468 4.0690 2.8265
2.2200 1.7540 0.1941
1.6778 5.7873 5.4589
3.8978 4.0333 5.6529
0.0000 0.0000 5.6529
0.0000 0.0000 0.0000
3.8978 4.0333 0.0000
7.7036 4.3641 8.4794
0.0920 3.7026 2.8265
3.9898 0.3307 8.4794
3.8058 7.7360 2.8265

[21]
Rb6Dy3Br14 (PBE, optimized geometry); ΔE_f (raw) = -1725.0 meV/atom; SG = No. 143; energy = -3.5960 eV/atom
1.0
7.4835 0.0000 0.0000
0.0000 10.7107 -6.1838
0.0000 0.0000 12.3676
Rb Br Dy
6 14 3
Cartesian
5.8771 4.7228 9.3523
1.9290 9.7409 3.1096
1.9290 8.5332 -3.8068
5.8771 5.7379 3.6014
1.9290 3.1473 0.6973
5.8771 0.2500 5.5978
7.3076 0.7838 2.3180
4.9898 8.5880 1.8205
7.3076 8.3113 5.7036
7.3076 1.6156 10.5298
1.8079 6.3095 2.1954
3.7315 2.6659 3.9091
3.7315 5.9924 6.5380
4.9898 4.8401 0.3433
4.9898 7.9933 -2.1638
3.7315 2.0524 8.1044
3.4190 0.0000 0.0000
1.8079 5.6547 -1.8173
7.3838 3.5702 6.1838
1.8079 9.4572 -0.3781
6.1291 0.0000 0.0000
3.3798 7.1405 0.0000
2.6111 3.5702 6.1838